# 1
Compound: UPbS
Source: Alexandria via LeMat-Bulk
Functional: PBE-GGA
Structure: relaxed

The structure belongs to space group P-3m1 (No. 164); the cell edges are 4.3989, 4.3989 and 10.9306 Å and the angles 90.00°, 90.00° and 120.00°. The asymmetric unit holds U at (0.3333, 0.6667, 0.1579), Pb at (0.0000, 0.0000, 0.3641) and S at (0.3333, 0.6667, 0.9040).

The final energy is -6.748 eV/atom.

# 2
Compound: U3PbS8
Source: Alexandria via LeMat-Bulk
Functional: PBE-GGA
Structure: relaxed

The structure belongs to space group R-3m (No. 166, hexagonal axes); the cell edges are 7.9922, 7.9922 and 20.8064 Å and the angles 90.00°, 90.00° and 120.00°. The asymmetric unit holds U at (0.0000, 0.5000, 0.0000), Pb at (0.0000, 0.0000, 0.5000), S at (0.0000, 0.0000, 0.2668) and S at (0.0248, 0.5124, 0.2659).

The final energy is -7.026 eV/atom.

# 3
Compound: U2Pb2S7
Source: Alexandria via LeMat-Bulk
Functional: PBE-GGA
Structure: relaxed

The structure belongs to space group Imm2 (No. 44); the cell edges are 3.8085, 15.0433 and 8.7503 Å and the angles 90.00°, 90.00° and 90.00°. The asymmetric unit holds U at (0.0000, 0.2401, 0.0000), Pb at (0.0000, 0.0000, 0.7593), Pb at (0.0000, 0.5000, 0.7822), S at (0.0000, 0.0000, 0.0639), S at (0.0000, 0.1358, 0.4896), S at (0.0000, 0.3155, 0.6954) and S at (0.0000, 0.3440, 0.3177).

For the energy above the most stable polymorph in this dataset, the calculation gives 0 kJ/mol of formula units.

# 4
Compound: U4PbS8
Source: Alexandria via LeMat-Bulk
Functional: PBE-GGA
Structure: relaxed

The structure belongs to space group C2/m (No. 12); the cell edges are 13.9543, 8.0545 and 9.7817 Å and the angles 90.00°, 134.45° and 90.00°. The asymmetric unit holds U at (0.0000, 0.2473, 0.0000), U at (0.2345, 0.0000, 0.4983), Pb at (0.0000, 0.5000, 0.5000), S at (0.0072, 0.5000, 0.8197), S at (0.0256, 0.0000, 0.8407) and S at (0.2303, 0.2640, 0.6681).

For the energy above the most stable polymorph in this dataset, the calculation gives 48 kJ/mol of formula units.

What are the Fermi-level density of states values for these records? In order: 15.59, 47.81, 10.16, 63.20 states/eV per cell.